# Th2MgCo9

A geometry-optimized Th2MgCo9 structure (PBE, the Alexandria database).

Structure (extended XYZ):
```
12
Lattice="-4.369 0.321 2.226 -2.021 -3.991 2.034 1.670 0.525 8.627" Properties=species:S:1:pos:R:3 pbc="T T T"
Co -1.409 0.269 8.045
Co -4.260 -2.446 2.840
Co -4.482 -1.266 4.937
Co -2.416 -1.719 9.058
Mg 0.000 0.000 0.000
Co -2.305 -1.426 3.828
Co -2.360 -1.572 6.443
Co -0.239 -1.879 7.949
Co -0.461 -0.699 10.046
Th 0.135 -0.181 5.716
Co -3.312 -3.414 4.841
Th -4.856 -2.964 7.170
```

## Properties
DOS(E_F) ... 15.27 states/eV/f.u.
V ... 174 Å³ per cell
E_tot ... -6.77 eV per atom